Density functional theory data (GGA-PBE) for a relaxed structure of BeSi2Ir.

For the volume, the calculation gives 12.6 Å³ per atom. The total magnetization is 0.00 μB per formula unit. For the formation energy without anion corrections, the calculation gives -0.179 eV per atom. The density of states at the Fermi level comes out at 0.84 states/eV/f.u. Its crystal system is monoclinic.

It has space group Cm (No. 8), with a = 8.1818 Å, b = 2.8827 Å, c = 4.2834 Å, α = 90.00°, β = 94.49° and γ = 90.00°. The asymmetric unit holds Be at (0.0000, 0.0000, 0.0000), Si at (0.0229, 0.5000, 0.5203), Si at (0.2657, 0.5000, 0.2459) and Ir at (0.2602, 0.0000, 0.7676).


Density functional theory data (GGA-PBE) for a relaxed structure of SrMoPt3.

For the volume, the calculation gives 25.4 Å³ per atom. The total magnetization is 0.00 μB per formula unit. The density of states at the Fermi level comes out at 34.22 states/eV/f.u. The uncorrected energy is -19.50 eV for the cell shown. Its crystal system is cubic.

It has space group Pm-3m (No. 221), with a = 5.0269 Å, b = 5.0269 Å, c = 5.0269 Å, α = 90.00°, β = 90.00° and γ = 90.00°. The asymmetric unit holds Sr at (0.0000, 0.0000, 0.0000), Mo at (0.5000, 0.5000, 0.5000) and Pt at (0.0000, 0.0000, 0.5000).


Density functional theory data (GGA-PBE) for a relaxed structure of Ti2InBr8.

For the volume, the calculation gives 46.6 Å³ per atom. The total magnetization is 1.00 μB per formula unit. For the formation energy without anion corrections, the calculation gives -1.067 eV per atom. The density of states at the Fermi level comes out at 8.46 states/eV/f.u. Its crystal system is monoclinic.

It has space group C2/m (No. 12), with a = 14.1486 Å, b = 10.1632 Å, c = 7.2474 Å, α = 90.00°, β = 100.11° and γ = 90.00°. The asymmetric unit holds Ti at (0.2089, 0.0000, 0.1590), In at (0.0000, 0.0000, 0.5000), Br at (0.1261, 0.1841, 0.2608), Br at (0.1283, 0.5000, 0.6964) and Br at (0.1967, 0.0000, 0.8258).